1.
Material: InHg2As
Method: DFT, SCAN
State: single point on PBEsol structure

Lattice parameters (Å, degrees): 3.2132 5.2897 6.1241 115.59 105.21 90.00
Last column: nearest neighbours and their distance in Å.
Fractional positions:
1 As 0.0000 0.5000 0.0000  4 Hg 2.98, 4 In 3.09, 2 As 3.21
2 In 0.5000 0.0000 0.0000  4 As 3.09, 4 Hg 3.21, 2 In 3.21
3 Hg 0.7370 0.7370 0.4740  2 As 2.98, 6 Hg 3.11-3.21, 2 In 3.21
4 Hg 0.2630 0.2630 0.5260  2 As 2.98, 6 Hg 3.11-3.21, 2 In 3.21

Calculated values
total DFT energy (no corrections): -189.1 eV/f.u.
E_form: 0.1931 eV per atom
spin magnetization: 0.0 μB per formula unit

---

2.
Material: InHg2As
Method: DFT, SCAN
State: single point on PBEsol structure

Lattice parameters (Å, degrees): 4.0874 4.0874 5.4991 90.00 90.00 90.00
Last column: nearest neighbours and their distance in Å.
Fractional positions:
1 In 0.5000 0.5000 0.5000  4 As 2.89
2 Hg 0.0000 0.5000 0.0000  4 Hg 2.89
3 Hg 0.5000 0.0000 0.0000  4 Hg 2.89
4 As 0.0000 0.0000 0.5000  4 In 2.89

Calculated values
total DFT energy (no corrections): -189.3 eV/f.u.
E_form: 0.1548 eV per atom
spin magnetization: 0.0 μB per formula unit

---

Q: Which of these has the lowest E_form?
A: number 2